A relaxed La4Y2Er3 crystal, computed with GGA-PBE.

Cell: 7.1214 9.0028 9.9412 Å, 99.62 90.50 102.09°
Space group P-1 (No. 2)
Inequivalent atoms, fractional coordinates:
La  0.0251  0.1802  0.0950 (multiplicity 2)
La  0.1147  0.4987  0.6821 (multiplicity 2)
La  0.3099  0.1753  0.7738 (multiplicity 2)
La  0.4497  0.8348  0.5503 (multiplicity 2)
Y  0.3719  0.4739  0.3418 (multiplicity 2)
Y  0.4764  0.8294  0.8885 (multiplicity 2)
Er  0.0428  0.1626  0.4400 (multiplicity 2)
Er  0.2077  0.8610  0.2386 (multiplicity 2)
Er  0.2595  0.5269  0.0253 (multiplicity 2)

Values from the calculation:
- V: 34.1 Å³ per atom
- Theoretical density: 6683 kg/m3
- Calculated formation energy: 0.0670 eV per atom